--- w ---
# CrIn3B (PBE, optimized geometry)
# Density = 6.07 g/cm3
# Fermi-level density of states = 0.46 states/eV per atom
# Size of the total moment = 4.69 μB per formula unit
data_CrIn3B
_space_group_name_H-M_alt 'P 1'
_space_group_IT_number 1
_cell_length_a 4.813
_cell_length_b 4.813
_cell_length_c 4.813
_cell_angle_alpha 90.00
_cell_angle_beta 90.00
_cell_angle_gamma 90.00
loop_
_space_group_symop_operation_xyz
'x,y,z'
loop_
_atom_site_label
_atom_site_type_symbol
_atom_site_fract_x
_atom_site_fract_y
_atom_site_fract_z
Cr1 Cr 0.000 0.000 0.000
In1 In 0.000 0.500 0.500
In2 In 0.500 0.000 0.500
In3 In 0.500 0.500 0.000
B1 B 0.500 0.500 0.500


--- x ---
# CrIn3B (PBE, optimized geometry)
# Density = 4.96 g/cm3
# Fermi-level density of states = 0.63 states/eV per atom
# Size of the total moment = 2.12 μB per formula unit
data_CrIn3B
_space_group_name_H-M_alt 'P 1'
_space_group_IT_number 1
_cell_length_a 5.146
_cell_length_b 5.146
_cell_length_c 5.146
_cell_angle_alpha 90.00
_cell_angle_beta 90.00
_cell_angle_gamma 90.00
loop_
_space_group_symop_operation_xyz
'x,y,z'
loop_
_atom_site_label
_atom_site_type_symbol
_atom_site_fract_x
_atom_site_fract_y
_atom_site_fract_z
Cr1 Cr 0.000 0.000 0.000
In1 In 0.000 0.000 0.500
In2 In 0.000 0.500 0.000
In3 In 0.500 0.000 0.000
B1 B 0.500 0.500 0.500


Ordering by calculated energy gives the sequence w, x, with the first entry being the most stable.


--- w ---
# CrInB3 (PBE, optimized geometry)
# Density = 5.23 g/cm3
# Fermi-level density of states = 0.60 states/eV per atom
# Size of the total moment = 0.79 μB per formula unit
data_CrInB3
_space_group_name_H-M_alt 'P 1'
_space_group_IT_number 1
_cell_length_a 3.984
_cell_length_b 3.984
_cell_length_c 3.984
_cell_angle_alpha 90.00
_cell_angle_beta 90.00
_cell_angle_gamma 90.00
loop_
_space_group_symop_operation_xyz
'x,y,z'
loop_
_atom_site_label
_atom_site_type_symbol
_atom_site_fract_x
_atom_site_fract_y
_atom_site_fract_z
Cr1 Cr 0.000 0.000 0.000
In1 In 0.500 0.500 0.500
B1 B 0.000 0.000 0.500
B2 B 0.000 0.500 0.000
B3 B 0.500 0.000 0.000


--- x ---
# CrInB3 (PBE, optimized geometry)
# Density = 4.04 g/cm3
# Fermi-level density of states = 1.05 states/eV per atom
# Size of the total moment = 0.22 μB per formula unit
data_CrInB3
_space_group_name_H-M_alt 'P 1'
_space_group_IT_number 1
_cell_length_a 4.342
_cell_length_b 4.342
_cell_length_c 4.342
_cell_angle_alpha 90.00
_cell_angle_beta 90.00
_cell_angle_gamma 90.00
loop_
_space_group_symop_operation_xyz
'x,y,z'
loop_
_atom_site_label
_atom_site_type_symbol
_atom_site_fract_x
_atom_site_fract_y
_atom_site_fract_z
Cr1 Cr 0.000 0.000 0.000
In1 In 0.500 0.500 0.500
B1 B 0.000 0.500 0.500
B2 B 0.500 0.000 0.500
B3 B 0.500 0.500 0.000


Ordering by calculated energy gives the sequence w, x, with the first entry being the most stable.